! meta-GGA SCAN SrAl, PBEsol geometry; values from VASP
&SYSTEM
  ibrav = 0, nat = 4, ntyp = 2
/
ATOMIC_SPECIES
Sr 87.62 Sr.upf
Al 26.98 Al.upf
ATOMIC_POSITIONS angstrom
Sr 0.000 0.000 2.254
Sr 0.000 0.000 22.516
Al 0.000 0.000 8.241
Al 0.000 0.000 16.529
CELL_PARAMETERS angstrom
2.234 1.290 8.257
-2.234 1.290 8.257
0.000 -2.580 8.257
! N(E_F) = 2.13 states/eV/cell
! Electronic total energy = -15.241 eV per atom
! Formation energy = -227.9 meV per atom
! V = 71 Å³/f.u.
! Density = 2.666 g/cm3